The following is a PBE calculation of an optimized crystal structure of KMgP2, from Alexandria.

Output
**D(E_F)**: 1.395 states/eV/f.u.
**Spin magnetization**: 0.00 Bohr magnetons per cell
**ΔE_f**: 1.73 eV per formula unit

abc: 4.9203 4.9203 4.9203
angles: 60.00 60.00 60.00
Sites, in units of the cell vectors:
K  0.0000  0.0000  0.0000
Mg  0.2500  0.2500  0.2500
P  0.5000  0.5000  0.5000
P  0.7500  0.7500  0.7500